Record 1
## SiTe2As (PBE-GGA)

Data for a relaxed structure of SiTe2As.

Unit cell a=4.062 b=4.633 c=11.280 alpha=90.00 beta=90.00 gamma=90.00
Space group Cmm2 (No. 35)
Inequivalent atoms, fractional coordinates:
1 Si 0.000 0.000 0.000 x2
2 Te 0.000 0.000 0.442 x2
3 Te 0.000 0.500 0.774 x2
4 As 0.000 0.500 0.135 x2

Values from the calculation:
The energy relative to the elements, uncorrected comes out at 0.396 eV/atom. As for the energy above the most stable polymorph in this dataset: 0.264 eV per atom.

Record 2
## La3HgO (PBE-GGA)

Data for a relaxed structure of La3HgO.

Unit cell a=5.068 b=5.068 c=5.068 alpha=90.00 beta=90.00 gamma=90.00
Space group Pm-3m (No. 221)
Inequivalent atoms, fractional coordinates:
1 La 0.000 0.000 0.500 x3
2 Hg 0.500 0.500 0.500 x1
3 O 0.000 0.000 0.000 x1

Values from the calculation:
The energy relative to the elements, uncorrected comes out at -1.364 eV/atom. As for the energy above the most stable polymorph in this dataset: 0.000 eV per atom.

Record 3
## Sr3HoRh8 (PBE-GGA)

Data for a relaxed structure of Sr3HoRh8.

Unit cell a=5.4393 b=5.4393 c=26.7130 alpha=90.00 beta=90.00 gamma=120.00
Space group R3m (No. 160, hexagonal axes)
Inequivalent atoms, fractional coordinates:
1 Sr 0.0000 0.0000 0.0000 x3
2 Sr 0.0000 0.0000 0.1241 x3
3 Sr 0.0000 0.0000 0.4975 x3
4 Ho 0.0000 0.0000 0.6237 x3
5 Rh 0.0000 0.0000 0.3109 x3
6 Rh 0.0000 0.0000 0.8112 x3
7 Rh 0.0028 0.5014 0.5635 x9
8 Rh 0.1686 0.3372 0.3921 x9

Values from the calculation:
The energy of formation is -4.62 eV per formula unit.

Record 4
## Ca2TlCd3 (PBE-GGA)

Data for a relaxed structure of Ca2TlCd3.

Unit cell a=7.287 b=10.088 c=17.497 alpha=90.00 beta=90.00 gamma=90.00
Space group Fmmm (No. 69)
Inequivalent atoms, fractional coordinates:
1 Ca 0.249 0.000 0.000 x8
2 Ca 0.250 0.250 0.250 x8
3 Tl 0.000 0.000 0.167 x8
4 Cd 0.000 0.000 0.335 x8
5 Cd 0.000 0.247 0.418 x16

Values from the calculation:
The energy of formation is -1.99 eV per formula unit.

Record 5
## LiEr3Co2 (PBE-GGA)

Data for a relaxed structure of LiEr3Co2.

Unit cell a=3.323 b=3.323 c=11.265 alpha=90.00 beta=90.00 gamma=90.00
Space group P4/mmm (No. 123)
Inequivalent atoms, fractional coordinates:
1 Li 0.000 0.000 0.000 x1
2 Er 0.500 0.500 0.210 x2
3 Er 0.500 0.500 0.500 x1
4 Co 0.000 0.000 0.346 x2

Values from the calculation:
The energy of formation is -0.81 eV per formula unit.

Record 6
## CuPtBr2 (PBE-GGA)

Data for a relaxed structure of CuPtBr2.

Unit cell a=3.8400 b=3.8400 c=18.8936 alpha=90.00 beta=90.00 gamma=120.00
Space group R-3m (No. 166, hexagonal axes)
Inequivalent atoms, fractional coordinates:
1 Cu 0.0000 0.0000 0.0000 x3
2 Pt 0.0000 0.0000 0.5000 x3
3 Br 0.0000 0.0000 0.2526 x6

Values from the calculation:
The energy relative to the elements, uncorrected comes out at 0.353 eV/atom. As for the energy above the most stable polymorph in this dataset: 0.309 eV per atom.

Record 7
## Zr3TiSn (PBE-GGA)

Data for a relaxed structure of Zr3TiSn.

Unit cell a=4.949 b=4.949 c=4.949 alpha=90.00 beta=90.00 gamma=90.00
Space group Pm-3m (No. 221)
Inequivalent atoms, fractional coordinates:
1 Zr 0.000 0.000 0.500 x3
2 Ti 0.000 0.000 0.000 x1
3 Sn 0.500 0.500 0.500 x1

Values from the calculation:
As for the energy above the most stable polymorph in this dataset: 0.803 eV per atom. The energy of formation is 2.80 eV per formula unit.

Record 8
## Li2B (PBE-GGA)

Data for a relaxed structure of Li2B.

Unit cell a=3.989 b=12.928 c=3.142 alpha=90.00 beta=90.00 gamma=90.00
Space group Cmcm (No. 63)
Inequivalent atoms, fractional coordinates:
1 Li 0.000 0.083 0.250 x4
2 Li 0.000 0.325 0.250 x4
3 B 0.000 0.500 0.000 x4

Values from the calculation:
The energy of formation is -0.32 eV per formula unit.

| no. | ρ (g/cm³) |
| --- | --- |
| 1 | 5.60 |
| 2 | 8.08 |
| 3 | 9.11 |
| 4 | 6.42 |
| 5 | 8.37 |
| 6 | 8.64 |
| 7 | 6.03 |
| 8 | 1.01 |